The following is a DFT calculation (PBE) of a relaxed Er6TlSb2Te3 crystal.

```
12
Lattice="-2.456 -1.969 -2.942 -2.241 -6.071 5.935 -5.434 7.664 2.561" Properties=species:S:1:pos:R:3 pbc="T T T"
Er -4.784 -2.218 2.323
Er -6.552 -1.025 6.155
Er -0.557 -1.453 1.438
Er -3.579 0.648 -0.602
Er -5.347 1.841 3.231
Er -9.574 1.077 4.116
Te -4.122 -2.793 5.310
Te -6.009 2.416 0.244
Te -2.348 -4.020 1.496
Tl -1.228 -0.985 -1.471
Sb -2.967 0.197 2.344
Sb -7.164 -0.574 3.209
```

Magnetization (μB per formula unit): 0.000
Uncorrected formation energy (eV per atom): -1.058
Energy (eV per atom): -5.01

The following is a DFT calculation (PBE) of a relaxed Er3Tl4SbTe8 crystal.

```
16
Lattice="8.893 0.000 0.000 0.000 9.611 0.501 -4.447 -4.444 6.290" Properties=species:S:1:pos:R:3 pbc="T T T"
Tl -2.223 -2.222 3.145
Tl 4.447 0.000 0.000
Tl 0.000 0.000 0.000
Tl 2.223 -2.222 3.145
Er 4.447 4.805 0.250
Er 2.223 2.583 3.395
Er -2.223 2.583 3.395
Te 4.447 0.447 3.443
Te 0.000 4.719 3.348
Te 2.234 2.659 0.313
Te 4.447 4.730 3.340
Te 6.659 2.659 0.313
Te 0.000 0.437 3.451
Te -2.212 2.508 6.478
Te 2.212 2.508 6.478
Sb 0.000 4.805 0.250
```

Magnetization (μB per formula unit): 0.000
Uncorrected formation energy (eV per atom): -0.833
Energy (eV per atom): -4.11

Which of these has the lowest uncorrected formation energy?
Er6TlSb2Te3